Material: NiBi2OsO8
Method: DFT, PBE with a Hubbard U
State: optimized geometry

## Properties
**Fermi-level density of states**: 1.2 states/eV per cell
**Electronic total energy**: -6.141 eV/atom

a = 5.615 Å, b = 5.693 Å, c = 6.136 Å
α = 75.63°, β = 78.04°, γ = 69.74°
Fractional positions:
Ni (0.000, 0.000, 0.000)
Bi (0.429, 0.347, 0.278)
Bi (0.571, 0.653, 0.722)
Os (0.000, 0.000, 0.500)
O (0.170, 0.122, 0.220)
O (0.206, 0.087, 0.656)
O (0.251, 0.672, 0.511)
O (0.278, 0.679, 0.020)
O (0.722, 0.321, 0.980)
O (0.749, 0.328, 0.489)
O (0.794, 0.913, 0.344)
O (0.830, 0.878, 0.780)